Entry 1:
CaHo4PuS8: relaxed, GGA-PBE.

Computed properties:
M_tot   5.95 μB per cell
Formation energy (no corrections)   -2614 kJ/mol of formula units
Symmetry   R3m (160)
N(E_F)   16.20 states/eV per cell

a b c (Å): 8.1246 8.1246 8.1246
angles (deg): 59.62 59.62 59.62
Closest atoms and distances in Å follow each position.
Sites, in units of the cell vectors:
Ca1 0.0000 0.0000 0.0000  4 S 2.68-2.72
Ho1 0.3739 0.3739 0.8819  6 S 2.70-2.80
Ho2 0.3739 0.8819 0.3739  6 S 2.70-2.80
Ho3 0.7515 0.7515 0.7515  4 S 2.61-2.66
Ho4 0.8819 0.3739 0.3739  6 S 2.70-2.80
Pu1 0.3753 0.3753 0.3753  6 S 2.80-2.85
S1 0.1321 0.1321 0.5939  1 Ca 2.68, 2 Ho 2.70, 1 Pu 2.80
S2 0.1321 0.5939 0.1321  1 Ca 2.68, 2 Ho 2.70, 1 Pu 2.80
S3 0.1362 0.1362 0.1362  1 Ca 2.72, 3 Ho 2.73
S4 0.1468 0.6234 0.6234  3 Ho 2.61-2.78, 1 Pu 2.85
S5 0.5939 0.1321 0.1321  1 Ca 2.68, 2 Ho 2.70, 1 Pu 2.80
S6 0.6182 0.6182 0.6182  4 Ho 2.66-2.80
S7 0.6234 0.1468 0.6234  3 Ho 2.61-2.78, 1 Pu 2.85
S8 0.6234 0.6234 0.1468  3 Ho 2.61-2.78, 1 Pu 2.85

---

Entry 2:
CaHo2PuSb4: relaxed, GGA-PBE.

Computed properties:
M_tot   4.61 μB per cell
Formation energy (no corrections)   -691 kJ/mol of formula units
Symmetry   P2/m (10)
N(E_F)   17.16 states/eV per cell

a b c (Å): 7.6229 4.4215 7.6782
angles (deg): 90.00 109.21 90.00
Closest atoms and distances in Å follow each position.
Sites, in units of the cell vectors:
Ca1 0.0000 0.0000 0.0000  6 Sb 3.16-3.18
Ho1 0.0000 0.5000 0.5000  6 Sb 3.12
Ho2 0.5000 0.0000 0.5000  6 Sb 3.08
Pu1 0.5000 0.5000 0.0000  6 Sb 3.12-3.14
Sb1 0.2524 0.0000 0.7456  3 Ho 3.08-3.12, 2 Pu 3.14, 1 Ca 3.16
Sb2 0.2575 0.5000 0.2571  3 Ho 3.08-3.12, 1 Pu 3.12, 2 Ca 3.18
Sb3 0.7425 0.5000 0.7429  3 Ho 3.08-3.12, 1 Pu 3.12, 2 Ca 3.18
Sb4 0.7476 0.0000 0.2544  3 Ho 3.08-3.12, 2 Pu 3.14, 1 Ca 3.16

---

Entry 3:
CaHoPu2Se4: relaxed, GGA-PBE.

Computed properties:
M_tot   11.76 μB per cell
Formation energy (no corrections)   -1304 kJ/mol of formula units
Symmetry   P2/m (10)
N(E_F)   17.76 states/eV per cell

a b c (Å): 7.1667 4.1280 7.1841
angles (deg): 90.00 109.33 90.00
Closest atoms and distances in Å follow each position.
Sites, in units of the cell vectors:
Ca1 0.0000 0.0000 0.0000  6 Se 2.92
Ho1 0.5000 0.5000 0.0000  6 Se 2.89-2.90
Pu1 0.0000 0.5000 0.5000  6 Se 2.96
Pu2 0.5000 0.0000 0.5000  6 Se 2.93
Se1 0.2522 0.5000 0.2462  1 Ho 2.89, 2 Ca 2.92, 3 Pu 2.93-2.96
Se2 0.2549 0.0000 0.7558  2 Ho 2.90, 1 Ca 2.92, 3 Pu 2.93-2.96
Se3 0.7451 0.0000 0.2442  2 Ho 2.90, 1 Ca 2.92, 3 Pu 2.93-2.96
Se4 0.7478 0.5000 0.7538  1 Ho 2.89, 2 Ca 2.92, 3 Pu 2.93-2.96

---

Entry 4:
Ca2HoPuTe4: relaxed, GGA-PBE.

Computed properties:
M_tot   6.11 μB per cell
Formation energy (no corrections)   -1069 kJ/mol of formula units
Symmetry   P2/m (10)
N(E_F)   15.09 states/eV per cell

a b c (Å): 7.6739 4.4257 7.7652
angles (deg): 90.00 109.20 90.00
Closest atoms and distances in Å follow each position.
Sites, in units of the cell vectors:
Ca1 0.0000 0.0000 0.0000  6 Te 3.14
Ca2 0.5000 0.5000 0.0000  6 Te 3.18
Ho1 0.0000 0.5000 0.5000  6 Te 3.11
Pu1 0.5000 0.0000 0.5000  6 Te 3.15-3.16
Te1 0.2434 0.0000 0.7452  2 Ho 3.11, 3 Ca 3.14-3.18, 1 Pu 3.16
Te2 0.2462 0.5000 0.2523  1 Ho 3.11, 3 Ca 3.14-3.18, 2 Pu 3.15
Te3 0.7538 0.5000 0.7477  1 Ho 3.11, 3 Ca 3.14-3.18, 2 Pu 3.15
Te4 0.7566 0.0000 0.2548  2 Ho 3.11, 3 Ca 3.14-3.18, 1 Pu 3.16